Entry 1:
MnFeCl2 | GGA-PBE | relaxed

Cell lengths 3.3094, 3.3094, 7.8731 Å; angles 90.00, 90.00, 124.50 degrees
Last column: magnetic moment on the atom in μB.
Fractional positions:
Cl: 0.0000 0.0000 0.0083  0.06
Cl: 0.0000 0.0000 0.4917  0.06
Mn: 0.5000 0.5000 0.7500  3.89
Fe: 0.5000 0.5000 0.2500  2.98

Offset from the most stable computed form ... 0.481 eV per atom
Formation energy (no corrections) ... 0.12 eV per atom
Crystal system ... orthorhombic

Entry 2:
Nd2Er2Tm3 | GGA-PBE | relaxed

Cell lengths 8.3877, 8.3877, 8.3877 Å; angles 109.47, 109.47, 109.47 degrees
Fractional positions:
Tm: 0.4440 0.1940 0.7500
Tm: 0.0560 0.3060 0.2500
Tm: 0.7500 0.5560 0.3060
Tm: 0.6940 0.7500 0.9440
Tm: 0.2500 0.9440 0.1940
Tm: 0.8060 0.2500 0.5560
Er: 0.5000 0.4125 0.5000
Er: 0.0000 0.0000 0.4125
Er: 0.9125 0.5000 0.0000
Er: 0.5875 0.0875 0.0875
Nd: 0.1875 0.6875 0.6875
Nd: 0.3125 0.5000 0.0000
Nd: 0.0000 0.0000 0.8125
Nd: 0.5000 0.8125 0.5000

Offset from the most stable computed form ... 0.089 eV per atom
Energy relative to the elements ... 0.23 eV per atom
Crystal system ... cubic

Entry 3:
Sr2Tl8Pd | GGA-PBE | relaxed

Cell lengths 4.9883, 4.9883, 12.8872 Å; angles 90.00, 90.00, 90.00 degrees
Fractional positions:
Tl: 0.5000 0.0000 0.5000
Tl: 0.5000 0.0000 0.8793
Tl: 0.5000 0.0000 0.1207
Tl: 0.5000 0.5000 0.3122
Tl: 0.0000 0.5000 0.8793
Tl: 0.5000 0.5000 0.6878
Tl: 0.0000 0.5000 0.5000
Tl: 0.0000 0.5000 0.1207
Sr: 0.0000 0.0000 0.6945
Sr: 0.0000 0.0000 0.3055
Pd: 0.0000 0.0000 0.0000

Energy relative to the elements ... -0.24 eV per atom
Crystal system ... tetragonal

Entry 4:
InHgPb2 | GGA-PBE | relaxed

Cell lengths 3.4063, 3.4063, 10.9541 Å; angles 90.00, 90.00, 113.41 degrees
Fractional positions:
Pb: 0.0000 0.0000 0.0056
Pb: 0.0000 0.0000 0.4944
In: 0.5000 0.5000 0.7500
Hg: 0.5000 0.5000 0.2500

Offset from the most stable computed form ... 0.025 eV per atom
Energy relative to the elements ... 0.03 eV per atom
Crystal system ... orthorhombic

no.,Fermi-level density of states (states/eV per atom)
1,0.861
2,1.375
3,0.487
4,0.302